Record 1
RbFeRuCl6: relaxed, PBE.

Geometry as CIF:
```
data_RbFeRuCl6
_space_group_name_H-M_alt 'C 1 2 1'
_space_group_IT_number 5
_cell_length_a 6.3286
_cell_length_b 10.9643
_cell_length_c 7.4217
_cell_angle_alpha 90.00
_cell_angle_beta 90.06
_cell_angle_gamma 90.00
loop_
_space_group_symop_operation_xyz
'x,y,z'
'-x,y,-z'
'x+1/2,y+1/2,z'
'-x+1/2,y+1/2,-z'
loop_
_atom_site_label
_atom_site_fract_x
_atom_site_fract_y
_atom_site_fract_z
Rb1 0.0000 0.0000 0.0000
Fe1 0.0000 0.6666 0.5000
Ru1 0.0000 0.3333 0.5000
Cl1 0.1293 0.4964 0.3176
Cl2 0.1793 0.1869 0.3179
Cl3 0.1902 0.8167 0.3179
```

Properties
- energy relative to the elements, uncorrected (eV per atom) = -0.921
- crystal system = monoclinic
- D(E_F) (states/eV/atom) = 0.783
- total moment (μB per cell) = 10.089
- density (g/cm3) = 2.93

Record 2
RbFeSCl2: relaxed, PBE.

Geometry as CIF:
```
data_RbFeSCl2
_space_group_name_H-M_alt 'P 4/m m m'
_space_group_IT_number 123
_space_group_name_Hall '-P 4 2'
_cell_length_a 5.1149
_cell_length_b 5.1149
_cell_length_c 4.2442
_cell_angle_alpha 90.00
_cell_angle_beta 90.00
_cell_angle_gamma 90.00
loop_
_atom_site_label
_atom_site_fract_x
_atom_site_fract_y
_atom_site_fract_z
Rb1 0.0000 0.0000 0.0000
Fe1 0.5000 0.5000 0.5000
S1 0.5000 0.5000 0.0000
Cl1 0.0000 0.5000 0.5000
```

Properties
- energy relative to the elements, uncorrected (eV per atom) = -0.712
- crystal system = tetragonal
- D(E_F) (states/eV/atom) = 1.288
- total moment (μB per cell) = 0.049
- E above lowest polymorph (meV per atom) = 0
- density (g/cm3) = 3.65